No. 1
VASP calculation (GGA-PBE) on an optimized crystal structure of Tm6SiGe2S3.

Cell: 17.388 3.986 7.982 Å, 90.00 103.81 90.00°
Space group C2/m (No. 12)
Symmetry-distinct sites (fractional):
Tm 0.000 0.000 0.247 (multiplicity 4)
Tm 0.166 0.500 0.084 (multiplicity 4)
Tm 0.166 0.500 0.582 (multiplicity 4)
Si 0.000 0.500 0.000 (multiplicity 2)
Ge 0.167 0.000 0.333 (multiplicity 4)
S 0.000 0.500 0.500 (multiplicity 2)
S 0.167 0.000 0.833 (multiplicity 4)

## Properties
spin magnetization	0.00	μB per cell
E_tot	-0.432	Ry per atom

=====

No. 2
VASP calculation (GGA-PBE) on an optimized crystal structure of Y4SiGeS2.

Cell: 5.715 5.715 11.452 Å, 90.00 90.00 90.00°
Space group I-4m2 (No. 119)
Symmetry-distinct sites (fractional):
Y 0.000 0.000 0.248 (multiplicity 4)
Y 0.000 0.500 0.000 (multiplicity 4)
Si 0.000 0.500 0.750 (multiplicity 2)
Ge 0.000 0.000 0.500 (multiplicity 2)
S 0.000 0.000 0.000 (multiplicity 2)
S 0.000 0.500 0.250 (multiplicity 2)

## Properties
spin magnetization	0.00	μB per cell
E_tot	-0.514	Ry per atom

=====

No. 3
VASP calculation (GGA-PBE) on an optimized crystal structure of Sm2GeS5.

Cell: 6.153 7.151 7.168 Å, 80.66 65.10 65.22°
Space group P1 (No. 1)
Symmetry-distinct sites (fractional):
Sm 0.000 0.000 0.000 (multiplicity 1)
Sm 0.000 0.419 0.582 (multiplicity 1)
Ge 0.295 0.461 0.042 (multiplicity 1)
S 0.235 0.275 0.856 (multiplicity 1)
S 0.486 0.259 0.247 (multiplicity 1)
S 0.487 0.666 0.842 (multiplicity 1)
S 0.901 0.671 0.253 (multiplicity 1)
S 0.931 0.077 0.659 (multiplicity 1)

## Properties
spin magnetization	0.00	μB per cell
E_tot	-0.409	Ry per atom

=====

No. 4
VASP calculation (GGA-PBE) on an optimized crystal structure of Sm4GeS2.

Cell: 7.238 11.989 4.197 Å, 90.00 90.00 90.00°
Space group Pbam (No. 55)
Symmetry-distinct sites (fractional):
Sm 0.122 0.218 0.000 (multiplicity 4)
Sm 0.240 0.454 0.500 (multiplicity 4)
Ge 0.000 0.000 0.000 (multiplicity 2)
S 0.105 0.690 0.500 (multiplicity 4)

## Properties
spin magnetization	0.94	μB per cell
E_tot	-0.428	Ry per atom

=====

no.,ΔE_f (raw) (eV/f.u.)
1,-16.70
2,-11.74
3,-9.87
4,-9.04